A plane-wave DFT calculation with GGA-PBE was carried out for an optimized crystal structure of BaMnFeP2.

CIF file:
```
data_BaMnFeP2
_cell_length_a 6.8183
_cell_length_b 6.8183
_cell_length_c 6.8183
_cell_angle_alpha 147.26
_cell_angle_beta 147.26
_cell_angle_gamma 46.97
_space_group_name_H-M_alt 'P 1'
_space_group_IT_number 1
loop_
_space_group_symop_operation_xyz
'x,y,z'
loop_
_atom_site_label
_atom_site_fract_x
_atom_site_fract_y
_atom_site_fract_z
Ba1 0.0000 0.0000 0.0000
Mn1 0.2500 0.7500 0.5000
Fe1 0.7500 0.2500 0.5000
P1 0.3419 0.3419 0.0000
P2 0.6581 0.6581 0.0000
```

Computed properties:
N(E_F) = 4.4 states/eV/cell
ΔH_f (0 K) = -0.76 eV/atom

A plane-wave DFT calculation with GGA-PBE was carried out for an optimized crystal structure of Si2AsOs.

CIF file:
```
data_Si2AsOs
_cell_length_a 4.5863
_cell_length_b 4.5863
_cell_length_c 2.8349
_cell_angle_alpha 90.00
_cell_angle_beta 90.00
_cell_angle_gamma 90.00
_space_group_name_H-M_alt 'P 1'
_space_group_IT_number 1
loop_
_space_group_symop_operation_xyz
'x,y,z'
loop_
_atom_site_label
_atom_site_fract_x
_atom_site_fract_y
_atom_site_fract_z
Si1 0.0000 0.5000 0.0000
Si2 0.5000 0.0000 0.0000
As1 0.0000 0.0000 0.5000
Os1 0.5000 0.5000 0.5000
```

Computed properties:
N(E_F) = 3.0 states/eV/cell
energy relative to the elements, uncorrected = 0.5416 eV/atom

A plane-wave DFT calculation with GGA-PBE was carried out for an optimized crystal structure of LiHo2Si2.

CIF file:
```
data_LiHo2Si2
_cell_length_a 5.5363
_cell_length_b 5.5363
_cell_length_c 5.5363
_cell_angle_alpha 134.98
_cell_angle_beta 115.42
_cell_angle_gamma 82.18
_space_group_name_H-M_alt 'P 1'
_space_group_IT_number 1
loop_
_space_group_symop_operation_xyz
'x,y,z'
loop_
_atom_site_label
_atom_site_fract_x
_atom_site_fract_y
_atom_site_fract_z
Li1 0.0000 0.0000 0.0000
Ho1 0.2897 0.7897 0.5000
Ho2 0.7103 0.2103 0.5000
Si1 0.2955 0.5000 0.7955
Si2 0.7045 0.5000 0.2045
```

Computed properties:
N(E_F) = 3.3 states/eV/cell
energy relative to the elements, uncorrected = -0.6072 eV/atom

Number 1: total moment 1.33 μB per formula unit, energy -34.2 eV per formula unit. Number 2: total moment 0.00 μB per formula unit, energy -24.6 eV per formula unit. Number 3: total moment 0.00 μB per formula unit, energy -25.0 eV per formula unit.